Compound: BaHgPd
Source: Alexandria
Functional: PBE
Structure: optimized geometry Values from VASP.

Geometry as Quantum ESPRESSO input:
```
&SYSTEM
  ibrav = 0, nat = 3, ntyp = 3
/
ATOMIC_SPECIES
Hg 200.59 Hg.upf
Pd 106.42 Pd.upf
Ba 137.33 Ba.upf
CELL_PARAMETERS angstrom
5.126 0.000 0.000
2.563 4.439 0.000
2.563 1.480 4.185
ATOMIC_POSITIONS crystal
Hg 0.500 0.500 0.500
Pd 0.250 0.250 0.250
Ba 0.000 0.000 0.000
```

Results
DOS(E_F), states/eV per cell: 1.23
Symmetry: F-43m, No. 216
Total energy, eV per atom: -2.936
Energy of formation from the pure elements, eV per atom: -0.463

Compound: Ba5HgPd
Source: Alexandria
Functional: PBE
Structure: optimized geometry Values from VASP.

Geometry as Quantum ESPRESSO input:
```
&SYSTEM
  ibrav = 0, nat = 14, ntyp = 3
/
ATOMIC_SPECIES
Ba 137.33 Ba.upf
Hg 200.59 Hg.upf
Pd 106.42 Pd.upf
CELL_PARAMETERS angstrom
4.772 0.000 0.000
0.000 10.494 -0.287
0.000 0.344 13.747
ATOMIC_POSITIONS crystal
Ba 0.250 0.022 0.359
Ba 0.750 0.135 0.932
Ba 0.750 0.346 0.442
Ba 0.250 0.361 0.148
Ba 0.250 0.314 0.716
Ba 0.750 0.686 0.284
Ba 0.750 0.639 0.852
Ba 0.250 0.654 0.558
Ba 0.250 0.865 0.068
Ba 0.750 0.978 0.641
Hg 0.750 0.083 0.181
Hg 0.250 0.917 0.819
Pd 0.250 0.510 0.349
Pd 0.750 0.490 0.651
```

Results
DOS(E_F), states/eV per cell: 13.54
Symmetry: P2_1/m, No. 11
Total energy, eV per atom: -2.467
Energy of formation from the pure elements, eV per atom: -0.308

Compound: Ba2Hg4Pd
Source: Alexandria
Functional: PBE
Structure: optimized geometry Values from VASP.

Geometry as Quantum ESPRESSO input:
```
&SYSTEM
  ibrav = 0, nat = 7, ntyp = 3
/
ATOMIC_SPECIES
Hg 200.59 Hg.upf
Pd 106.42 Pd.upf
Ba 137.33 Ba.upf
CELL_PARAMETERS angstrom
-4.483 -1.992 -1.989
2.788 -2.628 -3.652
-0.213 -9.102 2.552
ATOMIC_POSITIONS crystal
Hg 0.838 0.838 0.324
Hg 0.162 0.162 0.676
Hg 0.000 0.500 0.000
Hg 0.500 0.000 0.000
Pd 0.000 0.000 0.000
Ba 0.640 0.640 0.720
Ba 0.360 0.360 0.280
```

Results
DOS(E_F), states/eV per cell: 7.20
Symmetry: I4/mmm, No. 139
Total energy, eV per atom: -1.823
Energy of formation from the pure elements, eV per atom: -0.359